No. 1
Computed, not measured: a geometry-optimized La2PmSb structure at the PBE level of DFT.

Lattice parameters (Å, degrees): 4.1826 4.1826 29.5428 90.00 90.00 120.00
Space group R3m (No. 160, hexagonal axes)
Asymmetric unit:
1 La 0.0000 0.0000 0.0000 x3
2 La 0.0000 0.0000 0.1948 x3
3 Pm 0.0000 0.0000 0.4308 x3
4 Sb 0.0000 0.0000 0.5974 x3

Properties
- Energy above the lowest structure with this stoichiometry: 200 meV/atom
- Spin magnetization: 0.22 μB per formula unit
- Formation energy from raw total energies: -0.399 eV per atom
- E_tot: -5.08 eV/atom
- Fermi-level density of states: 1.31 states/eV per atom

---

No. 2
Computed, not measured: a geometry-optimized K2MnHgAu structure at the PBE level of DFT.

Lattice parameters (Å, degrees): 6.2145 6.2145 5.4124 90.00 90.00 90.00
Space group P4/mmm (No. 123)
Asymmetric unit:
1 K 0.0000 0.5000 0.0000 x2
2 Mn 0.0000 0.0000 0.5000 x1
3 Hg 0.5000 0.5000 0.5000 x1
4 Au 0.5000 0.5000 0.0000 x1

Properties
- Spin magnetization: 4.40 μB per formula unit
- E_tot: -2.55 eV/atom
- Fermi-level density of states: 1.16 states/eV per atom